i.
VASP calculation (GGA-PBE) on crystalline K4Br3F at its relaxed geometry.

Cell and atoms, written as CIF:
```
data_K4Br3F
_symmetry_space_group_name_H-M 'P m -3 m'
_symmetry_Int_Tables_number 221
_symmetry_space_group_name_Hall '-P 4 2 3'
_cell_length_a 6.510
_cell_length_b 6.510
_cell_length_c 6.510
_cell_angle_alpha 90.00
_cell_angle_beta 90.00
_cell_angle_gamma 90.00
loop_
_atom_site_label
_atom_site_fract_x
_atom_site_fract_y
_atom_site_fract_z
K1 0.000 0.000 0.000
K2 0.000 0.500 0.500
Br1 0.000 0.000 0.500
F1 0.500 0.500 0.500
```

Results
Its crystal system is cubic.

ii.
VASP calculation (GGA-PBE) on crystalline K4Br3F at its relaxed geometry.

Cell and atoms, written as CIF:
```
data_K4Br3F
_symmetry_space_group_name_H-M 'P m n 21'
_symmetry_Int_Tables_number 31
_cell_length_a 10.747
_cell_length_b 9.121
_cell_length_c 6.615
_cell_angle_alpha 90.00
_cell_angle_beta 90.00
_cell_angle_gamma 90.00
loop_
_symmetry_equiv_pos_as_xyz
'x,y,z'
'-x+1/2,-y,z+1/2'
'-x,y,z'
'x+1/2,-y,z+1/2'
loop_
_atom_site_label
_atom_site_fract_x
_atom_site_fract_y
_atom_site_fract_z
K1 0.000 0.109 0.000
K2 0.000 0.812 0.561
K3 0.219 0.687 0.001
Br1 0.000 0.154 0.496
Br2 0.237 0.329 0.995
F1 0.000 0.820 0.952
```

Results
Its crystal system is orthorhombic.

ii is favored, and the nearest alternative lies 22 meV/atom above it.

i.
VASP calculation (GGA-PBE) on crystalline K2BrF2 at its relaxed geometry.

Cell and atoms, written as CIF:
```
data_K2BrF2
_symmetry_space_group_name_H-M 'I 4/m m m'
_symmetry_Int_Tables_number 139
_symmetry_space_group_name_Hall '-I 4 2'
_cell_length_a 4.793
_cell_length_b 4.793
_cell_length_c 11.693
_cell_angle_alpha 90.00
_cell_angle_beta 90.00
_cell_angle_gamma 90.00
loop_
_atom_site_label
_atom_site_fract_x
_atom_site_fract_y
_atom_site_fract_z
K1 0.000 0.000 0.169
Br1 0.000 0.000 0.500
F1 0.000 0.500 0.250
```

Results
Its crystal system is tetragonal.

ii.
VASP calculation (GGA-PBE) on crystalline K2BrF2 at its relaxed geometry.

Cell and atoms, written as CIF:
```
data_K2BrF2
_symmetry_space_group_name_H-M 'P 4/m b m'
_symmetry_Int_Tables_number 127
_symmetry_space_group_name_Hall '-P 4 2ab'
_cell_length_a 7.812
_cell_length_b 7.812
_cell_length_c 3.445
_cell_angle_alpha 90.00
_cell_angle_beta 90.00
_cell_angle_gamma 90.00
loop_
_atom_site_label
_atom_site_fract_x
_atom_site_fract_y
_atom_site_fract_z
K1 0.154 0.346 0.000
Br1 0.000 0.000 0.500
F1 0.143 0.643 0.500
```

Results
Its crystal system is tetragonal.

ii is favored, and the nearest alternative lies 29 meV/atom above it.

i.
VASP calculation (GGA-PBE) on crystalline K3Br2F at its relaxed geometry.

Cell and atoms, written as CIF:
```
data_K3Br2F
_symmetry_space_group_name_H-M 'P n m a'
_symmetry_Int_Tables_number 62
_cell_length_a 12.936
_cell_length_b 4.454
_cell_length_c 13.603
_cell_angle_alpha 90.00
_cell_angle_beta 90.00
_cell_angle_gamma 90.00
loop_
_symmetry_equiv_pos_as_xyz
'x,y,z'
'-x,-y,-z'
'-x+1/2,-y,z+1/2'
'x+1/2,y,-z+1/2'
'x+1/2,-y+1/2,-z+1/2'
'-x+1/2,y+1/2,z+1/2'
'-x,y+1/2,-z'
'x,-y+1/2,z'
loop_
_atom_site_label
_atom_site_fract_x
_atom_site_fract_y
_atom_site_fract_z
K1 0.064 0.250 0.146
K2 0.143 0.750 0.555
K3 0.224 0.250 0.793
Br1 0.012 0.750 0.333
Br2 0.164 0.750 0.981
F1 0.247 0.250 0.205
```

Results
Its crystal system is orthorhombic.

ii.
VASP calculation (GGA-PBE) on crystalline K3Br2F at its relaxed geometry.

Cell and atoms, written as CIF:
```
data_K3Br2F
_symmetry_space_group_name_H-M 'I m m m'
_symmetry_Int_Tables_number 71
_symmetry_space_group_name_Hall '-I 2 2'
_cell_length_a 4.309
_cell_length_b 6.479
_cell_length_c 13.552
_cell_angle_alpha 90.00
_cell_angle_beta 90.00
_cell_angle_gamma 90.00
loop_
_atom_site_label
_atom_site_fract_x
_atom_site_fract_y
_atom_site_fract_z
K1 0.000 0.000 0.000
K2 0.000 0.000 0.364
Br1 0.000 0.500 0.327
F1 0.000 0.500 0.000
```

Results
Its crystal system is orthorhombic.

i is favored, and the nearest alternative lies 28 meV/atom above it.